No. 1
YGaSb2Te | GGA-PBEsol | optimized geometry Values from VASP.

Geometry as Quantum ESPRESSO input:
```
&SYSTEM
  ibrav = 0, nat = 5, ntyp = 4
/
ATOMIC_SPECIES
Y 88.91 Y.upf
Ga 69.72 Ga.upf
Sb 121.76 Sb.upf
Te 127.60 Te.upf
CELL_PARAMETERS angstrom
5.1862 0.0000 0.0000
0.0000 5.1862 0.0000
0.0000 0.0000 5.3353
ATOMIC_POSITIONS crystal
Y 0.0000 0.0000 0.0000
Ga 0.5000 0.5000 0.5000
Sb 0.0000 0.5000 0.5000
Sb 0.5000 0.0000 0.5000
Te 0.5000 0.5000 0.0000
```

Summary:
As for the formation energy without anion corrections: 70.4 meV/atom. For the mass density, the calculation gives 6.13 Mg/m³. Its total energy is -4.4901 eV per atom.

=====

No. 2
YGaSbTe2 | GGA-PBEsol | optimized geometry Values from VASP.

Geometry as Quantum ESPRESSO input:
```
&SYSTEM
  ibrav = 0, nat = 5, ntyp = 4
/
ATOMIC_SPECIES
Y 88.91 Y.upf
Ga 69.72 Ga.upf
Sb 121.76 Sb.upf
Te 127.60 Te.upf
CELL_PARAMETERS angstrom
5.7519 0.0000 0.0000
0.0000 5.7519 0.0000
0.0000 0.0000 5.7123
ATOMIC_POSITIONS crystal
Y 0.0000 0.0000 0.0000
Ga 0.5000 0.5000 0.5000
Sb 0.0000 0.0000 0.5000
Te 0.0000 0.5000 0.0000
Te 0.5000 0.0000 0.0000
```

Summary:
As for the formation energy without anion corrections: 30.8 meV/atom. For the mass density, the calculation gives 4.71 Mg/m³. Its total energy is -4.3235 eV per atom.

=====

No. 3
Ti10Ga3Sb3 | GGA-PBEsol | optimized geometry Values from VASP.

Geometry as Quantum ESPRESSO input:
```
&SYSTEM
  ibrav = 0, nat = 16, ntyp = 3
/
ATOMIC_SPECIES
Ti 47.87 Ti.upf
Ga 69.72 Ga.upf
Sb 121.76 Sb.upf
CELL_PARAMETERS angstrom
7.7530 0.0000 0.0000
-3.8765 6.7143 0.0000
0.0000 0.0000 5.2594
ATOMIC_POSITIONS crystal
Ti 0.0000 0.2385 0.0000
Ti 0.0000 0.7504 0.5000
Ti 0.2385 0.0000 0.0000
Ti 0.2496 0.2496 0.5000
Ti 0.3333 0.6667 0.2608
Ti 0.3333 0.6667 0.7392
Ti 0.6667 0.3333 0.2608
Ti 0.6667 0.3333 0.7392
Ti 0.7504 0.0000 0.5000
Ti 0.7615 0.7615 0.0000
Ga 0.0000 0.3866 0.5000
Ga 0.3866 0.0000 0.5000
Ga 0.6134 0.6134 0.5000
Sb 0.0000 0.6022 0.0000
Sb 0.3978 0.3978 0.0000
Sb 0.6022 0.0000 0.0000
```

Summary:
As for the formation energy without anion corrections: -526.7 meV/atom. For the mass density, the calculation gives 6.39 Mg/m³. Its total energy is -7.2088 eV per atom.

=====

No. 4
YGa2Sb2 | GGA-PBEsol | optimized geometry Values from VASP.

Geometry as Quantum ESPRESSO input:
```
&SYSTEM
  ibrav = 0, nat = 5, ntyp = 3
/
ATOMIC_SPECIES
Y 88.91 Y.upf
Ga 69.72 Ga.upf
Sb 121.76 Sb.upf
CELL_PARAMETERS angstrom
-1.9868 1.9868 7.7435
1.9868 -1.9868 7.7435
1.9868 1.9868 -7.7435
ATOMIC_POSITIONS crystal
Y 0.0000 0.0000 0.0000
Ga 0.2500 0.7500 0.5000
Ga 0.7500 0.2500 0.5000
Sb 0.4031 0.4031 0.0000
Sb 0.5969 0.5969 0.0000
```

Summary:
As for the formation energy without anion corrections: -324.1 meV/atom. For the mass density, the calculation gives 6.41 Mg/m³. Its total energy is -4.8474 eV per atom.

=====

No. 5
YGa3Sb | GGA-PBEsol | optimized geometry Values from VASP.

Geometry as Quantum ESPRESSO input:
```
&SYSTEM
  ibrav = 0, nat = 5, ntyp = 3
/
ATOMIC_SPECIES
Y 88.91 Y.upf
Ga 69.72 Ga.upf
Sb 121.76 Sb.upf
CELL_PARAMETERS angstrom
5.1811 0.0000 0.0000
0.0000 5.1811 0.0000
0.0000 0.0000 5.1811
ATOMIC_POSITIONS crystal
Y 0.0000 0.0000 0.0000
Ga 0.0000 0.5000 0.5000
Ga 0.5000 0.0000 0.5000
Ga 0.5000 0.5000 0.0000
Sb 0.5000 0.5000 0.5000
```

Summary:
As for the formation energy without anion corrections: 452.2 meV/atom. For the mass density, the calculation gives 5.01 Mg/m³. Its total energy is -3.8275 eV per atom.

=====

No. 6
Zn2GaSb2 | GGA-PBEsol | optimized geometry Values from VASP.

Geometry as Quantum ESPRESSO input:
```
&SYSTEM
  ibrav = 0, nat = 5, ntyp = 3
/
ATOMIC_SPECIES
Zn 65.41 Zn.upf
Ga 69.72 Ga.upf
Sb 121.76 Sb.upf
CELL_PARAMETERS angstrom
-1.9250 1.9250 7.4541
1.9250 -1.9250 7.4541
1.9250 1.9250 -7.4541
ATOMIC_POSITIONS crystal
Zn 0.2500 0.7500 0.5000
Zn 0.7500 0.2500 0.5000
Ga 0.0000 0.0000 0.0000
Sb 0.3820 0.3820 0.0000
Sb 0.6180 0.6180 0.0000
```

Summary:
As for the formation energy without anion corrections: 108.0 meV/atom. For the mass density, the calculation gives 6.67 Mg/m³. Its total energy is -3.0157 eV per atom.

=====

No. 7
ZnGaSb3 | GGA-PBEsol | optimized geometry Values from VASP.

Geometry as Quantum ESPRESSO input:
```
&SYSTEM
  ibrav = 0, nat = 5, ntyp = 3
/
ATOMIC_SPECIES
Zn 65.41 Zn.upf
Ga 69.72 Ga.upf
Sb 121.76 Sb.upf
CELL_PARAMETERS angstrom
5.2257 0.0000 0.0000
0.0000 5.2257 0.0000
0.0000 0.0000 5.2257
ATOMIC_POSITIONS crystal
Zn 0.0000 0.0000 0.0000
Ga 0.5000 0.5000 0.5000
Sb 0.0000 0.5000 0.5000
Sb 0.5000 0.0000 0.5000
Sb 0.5000 0.5000 0.0000
```

Summary:
As for the formation energy without anion corrections: 717.4 meV/atom. For the mass density, the calculation gives 5.82 Mg/m³. Its total energy is -3.0013 eV per atom.

=====

No. 8
Zr2Ga2Sb | GGA-PBEsol | optimized geometry Values from VASP.

Geometry as Quantum ESPRESSO input:
```
&SYSTEM
  ibrav = 0, nat = 5, ntyp = 3
/
ATOMIC_SPECIES
Zr 91.22 Zr.upf
Ga 69.72 Ga.upf
Sb 121.76 Sb.upf
CELL_PARAMETERS angstrom
-1.8260 1.8260 7.6101
1.8260 -1.8260 7.6101
1.8260 1.8260 -7.6101
ATOMIC_POSITIONS crystal
Zr 0.1023 0.1023 0.0000
Zr 0.8977 0.8977 0.0000
Ga 0.2500 0.7500 0.5000
Ga 0.7500 0.2500 0.5000
Sb 0.5000 0.5000 0.0000
```

Summary:
As for the formation energy without anion corrections: -439.9 meV/atom. For the mass density, the calculation gives 7.26 Mg/m³. Its total energy is -6.3232 eV per atom.

=====

No. 9
Sc3Ga2 | GGA-PBEsol | optimized geometry Values from VASP.

Geometry as Quantum ESPRESSO input:
```
&SYSTEM
  ibrav = 0, nat = 40, ntyp = 2
/
ATOMIC_SPECIES
Sc 44.96 Sc.upf
Ga 69.72 Ga.upf
CELL_PARAMETERS angstrom
-5.3436 5.3436 6.9043
5.3436 -5.3436 6.9043
5.3436 5.3436 -6.9043
ATOMIC_POSITIONS crystal
Sc 0.0684 0.9304 0.2701
Sc 0.0696 0.3396 0.1379
Sc 0.1477 0.6477 0.5000
Sc 0.1604 0.4304 0.8621
Sc 0.1700 0.3300 0.5000
Sc 0.2017 0.9316 0.8621
Sc 0.2983 0.1604 0.7299
Sc 0.3300 0.8300 0.1600
Sc 0.3396 0.2017 0.2701
Sc 0.3523 0.8523 0.5000
Sc 0.4304 0.5684 0.2701
Sc 0.4316 0.7017 0.8621
Sc 0.5684 0.2983 0.1379
Sc 0.5696 0.4316 0.7299
Sc 0.6477 0.1477 0.5000
Sc 0.6604 0.7983 0.7299
Sc 0.6700 0.1700 0.8400
Sc 0.7017 0.8396 0.2701
Sc 0.7983 0.0684 0.1379
Sc 0.8300 0.6700 0.5000
Sc 0.8396 0.5696 0.1379
Sc 0.8523 0.3523 0.5000
Sc 0.9304 0.6604 0.8621
Sc 0.9316 0.0696 0.7299
Ga 0.0000 0.0000 0.0000
Ga 0.0237 0.8767 0.5000
Ga 0.1174 0.6174 0.7348
Ga 0.1233 0.6233 0.1470
Ga 0.2500 0.2500 0.0000
Ga 0.3767 0.5237 0.5000
Ga 0.3826 0.1174 0.5000
Ga 0.4763 0.9763 0.8530
Ga 0.5000 0.5000 0.0000
Ga 0.5237 0.0237 0.1470
Ga 0.6174 0.8826 0.5000
Ga 0.6233 0.4763 0.5000
Ga 0.7500 0.7500 0.0000
Ga 0.8767 0.3767 0.8530
Ga 0.8826 0.3826 0.2652
Ga 0.9763 0.1233 0.5000
```

Summary:
For the mass density, the calculation gives 4.62 Mg/m³. Its total energy is -5.9076 eV per atom. For the formation enthalpy at 0 K, the calculation gives -0.6087 eV/atom.

=====

No. 10
Sc11Ga10 | GGA-PBEsol | optimized geometry Values from VASP.

Geometry as Quantum ESPRESSO input:
```
&SYSTEM
  ibrav = 0, nat = 42, ntyp = 2
/
ATOMIC_SPECIES
Sc 44.96 Sc.upf
Ga 69.72 Ga.upf
CELL_PARAMETERS angstrom
-5.1482 5.1482 7.5628
5.1482 -5.1482 7.5628
5.1482 5.1482 -7.5628
ATOMIC_POSITIONS crystal
Sc 0.0696 0.3151 0.7544
Sc 0.1045 0.4315 0.3270
Sc 0.1045 0.7775 0.6730
Sc 0.1664 0.1664 0.0000
Sc 0.2225 0.8955 0.3270
Sc 0.3151 0.0696 0.7544
Sc 0.3151 0.5607 0.2456
Sc 0.3214 0.3214 0.6428
Sc 0.3214 0.6786 0.0000
Sc 0.4315 0.1045 0.3270
Sc 0.4393 0.6849 0.7544
Sc 0.5607 0.3151 0.2456
Sc 0.5685 0.8955 0.6730
Sc 0.6786 0.3214 0.0000
Sc 0.6786 0.6786 0.3572
Sc 0.6849 0.4393 0.7544
Sc 0.6849 0.9304 0.2456
Sc 0.7775 0.1045 0.6730
Sc 0.8336 0.8336 0.0000
Sc 0.8955 0.2225 0.3270
Sc 0.8955 0.5685 0.6730
Sc 0.9304 0.6849 0.2456
Ga 0.0307 0.0307 0.4141
Ga 0.0307 0.6166 0.0000
Ga 0.1253 0.1253 0.2506
Ga 0.1253 0.8747 0.0000
Ga 0.1323 0.5000 0.6323
Ga 0.2500 0.7500 0.5000
Ga 0.3834 0.3834 0.4141
Ga 0.3834 0.9693 0.0000
Ga 0.3992 0.3992 0.0000
Ga 0.5000 0.1323 0.6323
Ga 0.5000 0.8677 0.3677
Ga 0.6008 0.6008 0.0000
Ga 0.6166 0.0307 0.0000
Ga 0.6166 0.6166 0.5859
Ga 0.7500 0.2500 0.5000
Ga 0.8677 0.5000 0.3677
Ga 0.8747 0.1253 0.0000
Ga 0.8747 0.8747 0.7494
Ga 0.9693 0.3834 0.0000
Ga 0.9693 0.9693 0.5859
```

Summary:
For the mass density, the calculation gives 4.94 Mg/m³. Its total energy is -5.6766 eV per atom. For the formation enthalpy at 0 K, the calculation gives -0.6264 eV/atom.

=====

No. 11
Sc3Ga5 | GGA-PBEsol | optimized geometry Values from VASP.

Geometry as Quantum ESPRESSO input:
```
&SYSTEM
  ibrav = 0, nat = 32, ntyp = 2
/
ATOMIC_SPECIES
Sc 44.96 Sc.upf
Ga 69.72 Ga.upf
CELL_PARAMETERS angstrom
10.8398 0.0000 0.0000
0.0000 9.1345 0.0000
0.0000 0.0000 5.6704
ATOMIC_POSITIONS crystal
Sc 0.0644 0.2500 0.1505
Sc 0.1455 0.5059 0.6088
Sc 0.1455 0.9941 0.6088
Sc 0.3545 0.0059 0.1088
Sc 0.3545 0.4941 0.1088
Sc 0.4356 0.7500 0.6505
Sc 0.5644 0.2500 0.3495
Sc 0.6455 0.5059 0.8912
Sc 0.6455 0.9941 0.8912
Sc 0.8545 0.0059 0.3912
Sc 0.8545 0.4941 0.3912
Sc 0.9356 0.7500 0.8495
Ga 0.0061 0.2500 0.6196
Ga 0.0953 0.5485 0.1236
Ga 0.0953 0.9515 0.1236
Ga 0.2089 0.7500 0.8780
Ga 0.2498 0.2500 0.8436
Ga 0.2502 0.7500 0.3436
Ga 0.2911 0.2500 0.3780
Ga 0.4047 0.0485 0.6236
Ga 0.4047 0.4515 0.6236
Ga 0.4939 0.7500 0.1196
Ga 0.5061 0.2500 0.8804
Ga 0.5953 0.5485 0.3764
Ga 0.5953 0.9515 0.3764
Ga 0.7089 0.7500 0.6220
Ga 0.7498 0.2500 0.6564
Ga 0.7502 0.7500 0.1564
Ga 0.7911 0.2500 0.1220
Ga 0.9047 0.0485 0.8764
Ga 0.9047 0.4515 0.8764
Ga 0.9939 0.7500 0.3804
```

Summary:
For the mass density, the calculation gives 5.72 Mg/m³. Its total energy is -5.2258 eV per atom. For the formation enthalpy at 0 K, the calculation gives -0.6616 eV/atom.